(1)
Density functional theory data (PBE) for YTa4Ag after structural relaxation.

a = 5.6202 Å, b = 5.6202 Å, c = 5.6202 Å
α = 60.00°, β = 60.00°, γ = 60.00°
Fractional coordinates of all 6 atoms:
Y  0.7500  0.7500  0.7500
Ta  0.8686  0.3771  0.3771
Ta  0.3771  0.3771  0.8686
Ta  0.3771  0.8686  0.3771
Ta  0.3771  0.3771  0.3771
Ag  0.0000  0.0000  0.0000

Calculated values
The mass density comes out at 12178 kg/m3. For the formation energy, the calculation gives 0.377 eV/atom.

=====

(2)
Density functional theory data (PBE) for AcSmGe2Pt2 after structural relaxation.

a = 4.3632 Å, b = 4.3632 Å, c = 8.4568 Å
α = 90.00°, β = 90.00°, γ = 120.00°
Fractional coordinates of all 6 atoms:
Ac  0.0000  0.0000  0.0000
Sm  0.0000  0.0000  0.5000
Ge  0.6667  0.3333  0.7315
Ge  0.3333  0.6667  0.2685
Pt  0.6667  0.3333  0.2673
Pt  0.3333  0.6667  0.7326

Calculated values
The mass density comes out at 10871 kg/m3. For the formation energy, the calculation gives -1.044 eV/atom.

=====

(3)
Density functional theory data (PBE) for KMgCoH6 after structural relaxation.

a = 4.6175 Å, b = 4.6175 Å, c = 5.5858 Å
α = 90.01°, β = 89.99°, γ = 59.99°
Site moments in Bohr magnetons follow the coordinates.
Fractional coordinates of all 9 atoms:
K  0.9999  0.0000  0.0000  0.00
Mg  0.6666  0.6666  0.5000  0.00
Co  0.3333  0.3334  0.5000  -0.14
H  0.0731  0.3334  0.3282  0.00
H  0.3333  0.0732  0.6718  0.00
H  0.5934  0.3336  0.6719  0.00
H  0.0729  0.5937  0.6717  0.00
H  0.3336  0.5934  0.3281  0.00
H  0.5936  0.0729  0.3283  0.00

Calculated values
The mass density comes out at 2067 kg/m3. Its electronic total energy is -0.26118 Ry per atom.

=====

(4)
Density functional theory data (PBE) for HfZrCu4 after structural relaxation.

a = 5.0526 Å, b = 5.0526 Å, c = 5.0526 Å
α = 60.00°, β = 60.00°, γ = 60.00°
Site moments in Bohr magnetons follow the coordinates.
Fractional coordinates of all 6 atoms:
Hf  0.2500  0.2500  0.2500  0.38
Cu  0.6250  0.6250  0.1249  0.04
Cu  0.6250  0.1249  0.6250  0.04
Cu  0.6250  0.6250  0.6250  0.04
Cu  0.1249  0.6250  0.6250  0.04
Zr  0.0000  0.0000  0.0000  0.47

Calculated values
The mass density comes out at 9538 kg/m3. For the formation energy, the calculation gives -0.060 eV/atom. The value obtained for the relative energy among the computed polymorphs is 0 meV/atom.

=====

(5)
Density functional theory data (PBE) for MnAlSi after structural relaxation.

a = 3.9522 Å, b = 3.9522 Å, c = 3.9522 Å
α = 60.00°, β = 60.00°, γ = 60.00°
Fractional coordinates of all 3 atoms:
Si  0.7500  0.7500  0.7500
Mn  0.5000  0.5000  0.5000
Al  0.0000  0.0000  0.0000

Calculated values
The mass density comes out at 4185 kg/m3. For the uncorrected formation energy, the calculation gives 0.1192 eV per atom.

=====

(6)
Density functional theory data (PBE) for Na2PuIn2O6 after structural relaxation.

a = 5.7647 Å, b = 5.7647 Å, c = 6.0230 Å
α = 99.61°, β = 99.61°, γ = 119.89°
Site moments in Bohr magnetons follow the coordinates.
Fractional coordinates of all 11 atoms:
Na  0.8226  0.1774  0.0000  0.00
Na  0.1774  0.8226  0.0000  0.00
Pu  0.0000  0.0000  0.5000  4.21
In  0.3352  0.6648  0.5000  0.01
In  0.6648  0.3352  0.5000  0.01
O  0.7417  0.7417  0.7013  -0.05
O  0.0597  0.4051  0.7052  -0.04
O  0.2583  0.2583  0.2987  -0.05
O  0.4051  0.0597  0.7052  -0.04
O  0.9403  0.5949  0.2948  -0.04
O  0.5949  0.9403  0.2948  -0.04

Calculated values
The mass density comes out at 6248 kg/m3. For the uncorrected formation energy, the calculation gives -1.9133 eV per atom.

=====

- Which value of mass density does entry 4 give?
  9538 kg/m3